# 1
First-principles (PBE-GGA) data for a relaxed structure of PmTlHg, as listed in OQMD.

The value obtained for the magnetic moment is 0.012 μB per cell. The energy above the most stable polymorph in this dataset comes out at 320.2 meV per atom.

It has space group F-43m (No. 216), with a = 7.267 Å, b = 7.267 Å, c = 7.267 Å, α = 90.00°, β = 90.00° and γ = 90.00°. Symmetry generates all atoms from Pm at (0.000, 0.000, 0.000), Tl at (0.250, 0.250, 0.250) and Hg at (0.250, 0.250, 0.750).


# 2
First-principles (PBE-GGA) data for a relaxed structure of PmTlHg, as listed in OQMD.

The value obtained for the magnetic moment is 0.000 μB per cell. The energy above the most stable polymorph in this dataset comes out at 177.2 meV per atom.

It has space group F-43m (No. 216), with a = 7.081 Å, b = 7.081 Å, c = 7.081 Å, α = 90.00°, β = 90.00° and γ = 90.00°. Symmetry generates all atoms from Pm at (0.000, 0.000, 0.000), Tl at (0.250, 0.250, 0.750) and Hg at (0.000, 0.000, 0.500).


# 3
First-principles (PBE-GGA) data for a relaxed structure of PmTmHg, as listed in OQMD.

The value obtained for the magnetic moment is 0.093 μB per cell. The energy above the most stable polymorph in this dataset comes out at 0.0 meV per atom. The formation energy comes out at -0.31 eV per formula unit.

It has space group F-43m (No. 216), with a = 7.246 Å, b = 7.246 Å, c = 7.246 Å, α = 90.00°, β = 90.00° and γ = 90.00°. Symmetry generates all atoms from Pm at (0.000, 0.000, 0.000), Tm at (0.000, 0.000, 0.500) and Hg at (0.250, 0.250, 0.250).


# 4
First-principles (PBE-GGA) data for a relaxed structure of PmUHg, as listed in OQMD.

The value obtained for the magnetic moment is 15.720 μB per cell. The energy above the most stable polymorph in this dataset comes out at 0.0 meV per atom. The formation energy comes out at 1.79 eV per formula unit.

It has space group F-43m (No. 216), with a = 7.290 Å, b = 7.290 Å, c = 7.290 Å, α = 90.00°, β = 90.00° and γ = 90.00°. Symmetry generates all atoms from Pm at (0.000, 0.000, 0.000), U at (0.000, 0.000, 0.500) and Hg at (0.250, 0.250, 0.250).